The following is a PBE with a Hubbard U calculation of Ga2BiWO8 after structural relaxation, from the Alexandria database.

Results
Calculated volume   143.9 Å³/cell
Total magnetization   0.00 Bohr magnetons per cell
Density   7.6 g/cm3
Uncorrected energy   -76.12 eV per cell

Cell: 4.7172 4.7161 6.4696 Å, 90.00 90.00 90.64°
Positions (direct):
1 O 0.7008 0.7012 0.0000
2 O 0.2992 0.2988 0.0000
3 O 0.3280 0.3278 0.5000
4 O 0.7997 0.2007 0.7832
5 O 0.2003 0.7993 0.7832
6 O 0.7997 0.2007 0.2168
7 O 0.6720 0.6722 0.5000
8 O 0.2003 0.7993 0.2168
9 Bi 0.0000 0.0000 0.5000
10 W 0.0000 0.0000 0.0000
11 Ga 0.5000 0.5000 0.2404
12 Ga 0.5000 0.5000 0.7596